# 1
This record from the Alexandria database describes a relaxed Y2CrSi crystal. The functional is GGA-PBE.

Cell: 3.3026 3.3026 7.9900 Å, 90.00 90.00 90.00°
Fractional positions:
Y  0.0000  0.0000  0.0000
Y  0.5000  0.5000  0.3827
Cr  0.0000  0.0000  0.6303
Si  0.5000  0.5000  0.7522

Energy relative to the elements, uncorrected   -0.0517 eV per atom
Symmetry   P4mm
Magnetic moment   1.8 μB per formula unit
Calculated volume   21.787 A^3/atom

=====

# 2
This record from the Alexandria database describes a relaxed SrNb2Pt2 crystal. The functional is GGA-PBE.

Cell: 5.8946 5.8946 5.8946 Å, 131.06 131.06 71.72°
Fractional positions:
Sr  0.0000  0.0000  0.0000
Nb  0.3594  0.3594  0.0000
Nb  0.6406  0.6406  0.0000
Pt  0.2500  0.7500  0.5000
Pt  0.7500  0.2500  0.5000

Energy of formation from the pure elements   -4.587 kcal/mol of atoms
Symmetry   I4/mmm
Magnetic moment   0.0 μB per formula unit
Energy relative to the lowest polymorph listed for this composition   0.157 eV per atom
Calculated volume   22.785 A^3/atom

=====

# 3
This record from the Alexandria database describes a relaxed Cs2KCaAu crystal. The functional is GGA-PBE.

Cell: 7.1700 7.1700 6.0225 Å, 90.00 90.00 90.00°
Fractional positions:
Cs  0.0000  0.5000  0.0000
Cs  0.5000  0.0000  0.0000
K  0.0000  0.0000  0.5000
Ca  0.5000  0.5000  0.5000
Au  0.5000  0.5000  0.0000

Energy of formation from the pure elements   -2.419 kcal/mol of atoms
Symmetry   P4/mmm
Magnetic moment   0.0 μB per formula unit
Calculated volume   61.922 A^3/atom

=====

# 4
This record from the Alexandria database describes a relaxed MnCdSi2 crystal. The functional is GGA-PBE.

Cell: 4.1086 4.1086 3.8766 Å, 90.00 90.00 90.00°
Fractional positions:
Mn  0.0000  0.0000  0.0000
Cd  0.5000  0.5000  0.0000
Si  0.0000  0.5000  0.5000
Si  0.5000  0.0000  0.5000

Energy relative to the elements, uncorrected   0.3820 eV per atom
Symmetry   P4/mmm
Magnetic moment   3.6 μB per formula unit
Calculated volume   16.360 A^3/atom

=====

# 5
This record from the Alexandria database describes a relaxed CaMo2Pt crystal. The functional is GGA-PBE.

Cell: 2.7383 4.8632 5.3496 Å, 90.00 90.00 90.00°
Fractional positions:
Ca  0.0000  0.0000  0.0000
Mo  0.5000  0.5000  0.2547
Mo  0.5000  0.5000  0.7453
Pt  0.0000  0.0000  0.5000

Energy of formation from the pure elements   9.219 kcal/mol of atoms
Symmetry   Pmmm
Magnetic moment   0.0 μB per formula unit
Energy relative to the lowest polymorph listed for this composition   0.350 eV per atom
Calculated volume   17.810 A^3/atom

=====

# 6
This record from the Alexandria database describes a relaxed Ba2SbIr crystal. The functional is GGA-PBE.

Cell: 9.4832 9.4832 9.4832 Å, 26.53 26.53 26.53°
Fractional positions:
Ba  0.2353  0.2353  0.2353
Ba  0.7647  0.7647  0.7647
Sb  0.0000  0.0000  0.0000
Ir  0.5000  0.5000  0.5000

Energy relative to the elements, uncorrected   -0.0339 eV per atom
Symmetry   R-3m
Magnetic moment   0.5 μB per formula unit
Calculated volume   37.501 A^3/atom

=====

# 7
This record from the Alexandria database describes a relaxed ZnAgOs2 crystal. The functional is GGA-PBE.

Cell: 2.7164 4.2319 5.3557 Å, 90.00 90.00 90.00°
Fractional positions:
Zn  0.0000  0.0000  0.0000
Ag  0.0000  0.0000  0.5000
Os  0.5000  0.5000  0.2235
Os  0.5000  0.5000  0.7765

Energy of formation from the pure elements   15.469 kcal/mol of atoms
Symmetry   Pmmm
Magnetic moment   0.0 μB per formula unit
Calculated volume   15.391 A^3/atom

=====

# 8
This record from the Alexandria database describes a relaxed MnGeAu crystal. The functional is GGA-PBE.

Cell: 4.4626 4.4626 2.9234 Å, 90.00 90.00 120.00°
Fractional positions:
Mn  0.0000  0.0000  0.0000
Ge  0.3333  0.6667  0.5000
Au  0.6667  0.3333  0.5000

Energy of formation from the pure elements   1.591 kcal/mol of atoms
Symmetry   P-6m2
Magnetic moment   3.8 μB per formula unit
Calculated volume   16.806 A^3/atom

=====

# 9
This record from the Alexandria database describes a relaxed CaTl2Ag2 crystal. The functional is GGA-PBE.

Cell: 6.3792 6.3792 6.3792 Å, 45.64 45.64 45.64°
Fractional positions:
Ca  0.0000  0.0000  0.0000
Tl  0.4112  0.4112  0.4112
Tl  0.5888  0.5888  0.5888
Ag  0.1968  0.1968  0.1968
Ag  0.8032  0.8032  0.8032

Energy of formation from the pure elements   -2.233 kcal/mol of atoms
Symmetry   R-3m
Magnetic moment   0.0 μB per formula unit
Energy relative to the lowest polymorph listed for this composition   0.000 eV per atom
Calculated volume   24.190 A^3/atom

=====

# 10
This record from the Alexandria database describes a relaxed ZrGeSbI2 crystal. The functional is GGA-PBE.

Cell: 5.6000 5.6000 5.8318 Å, 90.00 90.00 90.00°
Fractional positions:
Zr  0.0000  0.0000  0.0000
Ge  0.5000  0.5000  0.5000
Sb  0.0000  0.0000  0.5000
I  0.0000  0.5000  0.0000
I  0.5000  0.0000  0.0000

Energy relative to the elements, uncorrected   0.2633 eV per atom
Symmetry   P4/mmm
Magnetic moment   0.8 μB per formula unit
Energy relative to the lowest polymorph listed for this composition   0.000 eV per atom
Calculated volume   36.577 A^3/atom

=====

# 11
This record from the Alexandria database describes a relaxed La3RuAuCl crystal. The functional is GGA-PBE.

Cell: 8.7683 4.3383 9.9512 Å, 90.00 93.88 90.00°
Fractional positions:
La  0.0936  0.2500  0.3518
La  0.1828  0.2500  0.9080
La  0.3613  0.7500  0.6269
La  0.6387  0.2500  0.3731
La  0.8172  0.7500  0.0920
La  0.9064  0.7500  0.6482
Ru  0.1383  0.2500  0.6574
Ru  0.8617  0.7500  0.3426
Au  0.3582  0.7500  0.3171
Au  0.6418  0.2500  0.6829
Cl  0.3948  0.7500  0.9171
Cl  0.6052  0.2500  0.0829

Energy relative to the elements, uncorrected   -0.8011 eV per atom
Symmetry   P2_1/m
Magnetic moment   0.0 μB per formula unit
Calculated volume   31.473 A^3/atom

=====

# 12
This record from the Alexandria database describes a relaxed Sr4AlSi crystal. The functional is GGA-PBE.

Cell: 6.8398 6.8398 6.8398 Å, 60.00 60.00 60.00°
Fractional positions:
Sr  0.1254  0.1254  0.1254
Sr  0.1254  0.1254  0.6238
Sr  0.1254  0.6238  0.1254
Sr  0.6238  0.1254  0.1254
Al  0.7500  0.7500  0.7500
Si  0.5000  0.5000  0.5000

Energy relative to the elements, uncorrected   0.7093 eV per atom
Symmetry   F-43m
Magnetic moment   0.0 μB per formula unit
Calculated volume   37.710 A^3/atom

=====

# 13
This record from the Alexandria database describes a relaxed TlHgBrCl2 crystal. The functional is GGA-PBE.

Cell: 5.3146 5.3146 5.6236 Å, 90.00 90.00 90.00°
Fractional positions:
Tl  0.0000  0.0000  0.0000
Hg  0.5000  0.5000  0.5000
Br  0.5000  0.5000  0.0000
Cl  0.0000  0.5000  0.5000
Cl  0.5000  0.0000  0.5000

Energy relative to the elements, uncorrected   -0.6417 eV per atom
Symmetry   P4/mmm
Magnetic moment   0.0 μB per formula unit
Calculated volume   31.768 A^3/atom

=====

# 14
This record from the Alexandria database describes a relaxed Ir2RuW crystal. The functional is GGA-PBE.

Cell: 2.7570 2.7570 7.7880 Å, 90.00 90.00 90.00°
Fractional positions:
Ir  0.0000  0.0000  0.0000
Ir  0.5000  0.5000  0.2608
Ru  0.0000  0.0000  0.4985
W  0.5000  0.5000  0.7557

Energy of formation from the pure elements   -1.320 kcal/mol of atoms
Symmetry   P4mm
Magnetic moment   0.0 μB per formula unit
Energy relative to the lowest polymorph listed for this composition   0.209 eV per atom
Calculated volume   14.799 A^3/atom

=====

# 15
This record from the Alexandria database describes a relaxed Sm2CuGe4Pd3 crystal. The functional is GGA-PBE.

Cell: 4.2694 4.2694 10.3478 Å, 90.00 90.00 90.00°
Fractional positions:
Sm  0.0000  0.5000  0.2425
Sm  0.5000  0.0000  0.7575
Cu  0.5000  0.5000  0.0000
Ge  0.0000  0.0000  0.5000
Ge  0.0000  0.5000  0.8695
Ge  0.5000  0.0000  0.1305
Ge  0.5000  0.5000  0.5000
Pd  0.0000  0.0000  0.0000
Pd  0.0000  0.5000  0.6318
Pd  0.5000  0.0000  0.3682

Energy of formation from the pure elements   -16.743 kcal/mol of atoms
Symmetry   P-4m2
Magnetic moment   0.0 μB per formula unit
Calculated volume   18.862 A^3/atom

=====

# 16
This record from the Alexandria database describes a relaxed Ac14NdSm crystal. The functional is GGA-PBE.

Cell: 11.2449 7.9004 7.9004 Å, 90.00 90.00 90.00°
Fractional positions:
Ac  0.0000  0.0000  0.0000
Ac  0.0000  0.0007  0.4991
Ac  0.0000  0.4991  0.0007
Ac  0.0000  0.4997  0.4997
Ac  0.2546  0.7504  0.7504
Ac  0.2556  0.2498  0.7501
Ac  0.2556  0.7501  0.2498
Ac  0.2567  0.2495  0.2495
Ac  0.5000  0.5010  0.9990
Ac  0.5000  0.9990  0.5010
Ac  0.7433  0.2495  0.2495
Ac  0.7444  0.2498  0.7501
Ac  0.7444  0.7501  0.2498
Ac  0.7454  0.7504  0.7504
Nd  0.5000  0.5002  0.5002
Sm  0.5000  0.9997  0.9997

Energy of formation from the pure elements   0.540 kcal/mol of atoms
Symmetry   Amm2
Magnetic moment   0.0 μB per formula unit
Calculated volume   43.867 A^3/atom

=====

# 17
This record from the Alexandria database describes a relaxed Tl2Sn6Hg crystal. The functional is GGA-PBE.

Cell: 6.9043 6.9043 6.4490 Å, 90.06 90.06 59.95°
Fractional positions:
Tl  0.1661  0.1661  0.1548
Tl  0.8339  0.8339  0.8452
Sn  0.1410  0.6791  0.3300
Sn  0.3201  0.3201  0.6708
Sn  0.3209  0.8590  0.6700
Sn  0.6791  0.1410  0.3300
Sn  0.6799  0.6799  0.3292
Sn  0.8590  0.3209  0.6700
Hg  0.5000  0.5000  0.0000

Energy of formation from the pure elements   0.911 kcal/mol of atoms
Symmetry   C2/m
Magnetic moment   0.0 μB per formula unit
Energy relative to the lowest polymorph listed for this composition   0.000 eV per atom
Calculated volume   29.567 A^3/atom

=====

# 18
This record from the Alexandria database describes a relaxed Th6Te3Ru2Se crystal. The functional is GGA-PBE.

Cell: 7.3770 7.3770 7.9066 Å, 98.94 98.94 119.84°
Fractional positions:
Th  0.0727  0.4297  0.7919
Th  0.2114  0.2114  0.2055
Th  0.4297  0.0727  0.7919
Th  0.5703  0.9273  0.2081
Th  0.7886  0.7886  0.7945
Th  0.9273  0.5703  0.2081
Te  0.0000  0.0000  0.5000
Te  0.3420  0.6580  0.5000
Te  0.6580  0.3420  0.5000
Ru  0.1677  0.8323  0.0000
Ru  0.8323  0.1677  0.0000
Se  0.5000  0.5000  0.0000

Energy relative to the elements, uncorrected   -1.0398 eV per atom
Symmetry   C2/m
Magnetic moment   0.0 μB per formula unit
Calculated volume   29.568 A^3/atom

=====

# 19
This record from the Alexandria database describes a relaxed TlZnHgF6 crystal. The functional is GGA-PBE.

Cell: 5.8411 5.8411 9.5797 Å, 90.00 90.00 120.00°
Fractional positions:
Tl  0.3333  0.6667  0.2500
Tl  0.6667  0.3333  0.7500
Zn  0.3333  0.6667  0.7500
Zn  0.6667  0.3333  0.2500
Hg  0.0000  0.0000  0.0000
Hg  0.0000  0.0000  0.5000
F  0.0380  0.3644  0.6320
F  0.0380  0.6737  0.8680
F  0.3263  0.3644  0.8680
F  0.3263  0.9620  0.6320
F  0.3644  0.0380  0.1320
F  0.3644  0.3263  0.3680
F  0.6356  0.6737  0.6320
F  0.6356  0.9620  0.8680
F  0.6737  0.0380  0.3680
F  0.6737  0.6356  0.1320
F  0.9620  0.3263  0.1320
F  0.9620  0.6356  0.3680

Energy relative to the elements, uncorrected   -1.7879 eV per atom
Symmetry   P-31c
Magnetic moment   0.0 μB per formula unit
Calculated volume   15.725 A^3/atom

=====

# 20
This record from the Alexandria database describes a relaxed YMg4As crystal. The functional is GGA-PBE.

Cell: 5.8748 5.8748 5.8748 Å, 60.00 60.00 60.00°
Fractional positions:
Y  0.0000  0.0000  0.0000
Mg  0.3749  0.3749  0.3749
Mg  0.3749  0.3749  0.8752
Mg  0.3749  0.8752  0.3749
Mg  0.8752  0.3749  0.3749
As  0.7500  0.7500  0.7500

Energy of formation from the pure elements   1.052 kcal/mol of atoms
Symmetry   F-43m
Magnetic moment   0.0 μB per formula unit
Calculated volume   23.895 A^3/atom